# Pm2PrN3

A relaxed structure of Pm2PrN3 (PBE-GGA, Alexandria).

Lattice parameters (Å, degrees): 6.3047 10.9207 6.3042 90.00 109.46 90.00
Space group C2/m (No. 12)
Unique sites:
Pm: 0.0000 0.0000 0.0000
Pm: 0.0000 0.1660 0.5000
Pm: 0.0000 0.5000 0.5000
Pr: 0.0000 0.3332 0.0000
N: 0.2457 0.0000 0.7466
N: 0.2494 0.1651 0.2530

Excess energy over the best structure of this formula in the dataset in meV per atom: 0.0
E_form (uncorrected) in meV/atom: -1385
M_tot in μB per cell: 0.0
DFT total energy in eV/atom: -7.93